Record 1
The following is a PBE calculation of Pa5Pd2S12 after structural relaxation, from the Alexandria database.

```
19
Lattice="7.5391 -3.4000 0.0000 7.5391 3.4000 0.0000 -2.4964 0.0000 8.3053" Properties=species:S:1:pos:R:3 pbc="T T T"
Pa 0.0000 0.0000 0.0000
Pa 4.3559 0.0000 1.3683
Pa 3.2184 0.0000 5.4105
Pa 9.3634 0.0000 2.8948
Pa 8.2260 0.0000 6.9370
Pd 6.2909 1.5282 4.1527
Pd 6.2909 -1.5282 4.1527
S -0.6449 0.0000 2.3680
S 3.9477 1.6905 3.4127
S 2.8342 1.7133 7.6763
S 9.7476 1.7133 0.6291
S 8.6341 1.6905 4.8926
S 6.9012 0.0000 2.0301
S 5.6807 0.0000 6.2752
S 3.9477 -1.6905 3.4127
S 2.8342 -1.7133 7.6763
S 9.7476 -1.7133 0.6291
S 8.6341 -1.6905 4.8926
S 13.2268 0.0000 5.9373
```

Calculated values
As for the uncorrected formation energy: -1.293 eV per atom. Its total energy is -6.945 eV/atom. As for the crystal system: monoclinic. Its spin magnetization is 1.3 μB/f.u.

Record 2
The following is a PBE calculation of AcHg4Pd4 after structural relaxation, from the Alexandria database.

```
18
Lattice="8.8958 0.0000 0.0000 0.0000 8.8958 0.0000 0.0000 0.0000 5.4991" Properties=species:S:1:pos:R:3 pbc="T T T"
Ac 2.2240 2.2240 1.3748
Ac 6.6719 6.6719 4.1243
Hg 0.6465 5.6698 0.7829
Hg 1.2219 8.2493 3.5325
Hg 3.2260 5.0944 3.5325
Hg 3.8014 7.6739 0.7829
Hg 5.0944 1.2219 4.7162
Hg 5.6698 3.8014 1.9666
Hg 7.6739 0.6465 1.9666
Hg 8.2493 3.2260 4.7162
Pd 0.4708 5.5080 3.5167
Pd 1.0601 8.4250 0.7672
Pd 3.3878 4.9188 0.7672
Pd 3.9771 7.8357 3.5167
Pd 4.9188 1.0601 1.9824
Pd 5.5080 3.9771 4.7319
Pd 7.8357 0.4708 4.7319
Pd 8.4250 3.3878 1.9824
```

Calculated values
Its energy of formation is -217.0 meV per atom. Its total energy is -3.116 eV/atom. As for the crystal system: tetragonal. Its spin magnetization is 0.0 μB/f.u.

Record 3
The following is a PBE calculation of LiHo5Tl3 after structural relaxation, from the Alexandria database.

```
18
Lattice="9.2256 0.0000 0.0000 -4.6128 7.9896 0.0000 0.0000 0.0000 6.6237" Properties=species:S:1:pos:R:3 pbc="T T T"
Li 0.0000 0.0000 0.0000
Li 0.0000 0.0000 3.3119
Ho -1.4117 2.4451 1.6559
Ho -3.2011 5.5445 4.9678
Ho 2.8234 0.0000 1.6559
Ho 1.4117 2.4451 4.9678
Ho 0.0000 5.3264 0.0000
Ho 0.0000 5.3264 3.3119
Ho 4.6128 2.6632 0.0000
Ho 4.6128 2.6632 3.3119
Ho 6.4022 0.0000 4.9678
Ho 3.2011 5.5445 1.6559
Tl -1.6274 2.8187 4.9678
Tl -2.9854 5.1708 1.6559
Tl 3.2548 0.0000 4.9678
Tl 1.6274 2.8187 1.6559
Tl 5.9708 0.0000 1.6559
Tl 2.9854 5.1708 4.9678
```

Calculated values
Its energy of formation is -270.5 meV per atom. Its total energy is -3.815 eV/atom. As for the crystal system: hexagonal. Its spin magnetization is 0.0 μB/f.u.

Record 4
The following is a PBE calculation of La5Sm4In after structural relaxation, from the Alexandria database.

```
10
Lattice="-5.2693 5.2693 3.1342 5.2693 -5.2693 3.1342 5.2693 5.2693 -3.1342" Properties=species:S:1:pos:R:3 pbc="T T T"
La 0.0000 0.0000 0.0000
La 3.2752 3.2540 1.5811
La 2.0153 -1.9941 4.7153
La 3.2540 7.2634 1.5811
La 1.9941 2.0153 4.7153
Sm 3.3309 -0.0115 1.6191
Sm 7.2077 0.0115 1.6191
Sm 0.0115 3.3309 1.6191
Sm -0.0115 7.2077 1.6191
In 0.0000 0.0000 3.0485
```

Calculated values
Its energy of formation is 98.8 meV per atom. Its total energy is -4.526 eV/atom. As for the crystal system: tetragonal. Its spin magnetization is 0.0 μB/f.u. The calculation puts the energy above the lowest structure with this stoichiometry at 0.080 eV per atom.

Record 5
The following is a PBE calculation of HoSnN2 after structural relaxation, from the Alexandria database.

```
4
Lattice="1.6889 0.9751 5.8195 -1.6889 0.9751 5.8195 0.0000 -1.9502 5.8195" Properties=species:S:1:pos:R:3 pbc="T T T"
Ho 0.0000 0.0000 0.0000
Sn 0.0000 0.0000 2.9363
N 0.0000 0.0000 10.0363
N 0.0000 0.0000 13.0188
```

Calculated values
As for the uncorrected formation energy: -0.336 eV per atom. Its total energy is -6.644 eV/atom. As for the crystal system: trigonal. Its spin magnetization is 0.0 μB/f.u. The calculation puts the energy above the lowest structure with this stoichiometry at 0.123 eV per atom.

Record 6
The following is a PBE calculation of MgNiPb2 after structural relaxation, from the Alexandria database.

```
4
Lattice="3.8837 -1.7759 0.0000 3.8837 1.7759 0.0000 -1.7290 0.0000 6.9258" Properties=species:S:1:pos:R:3 pbc="T T T"
Mg 0.0000 0.0000 0.0000
Ni 3.0192 0.0000 3.4629
Pb 0.6012 0.0000 4.8442
Pb 5.4371 0.0000 2.0815
```

Calculated values
Its energy of formation is 142.5 meV per atom. Its total energy is -3.556 eV/atom. As for the crystal system: monoclinic. Its spin magnetization is 0.0 μB/f.u.

Record 7
The following is a PBE calculation of Ba3Ce3NdSe8 after structural relaxation, from the Alexandria database.

```
15
Lattice="4.3477 2.5102 7.5665 -4.3477 2.5102 7.5665 0.0000 -5.0203 7.5665" Properties=species:S:1:pos:R:3 pbc="T T T"
Ba -2.1739 -1.2551 7.5665
Ba -2.1739 1.2551 15.1329
Ba 0.0000 2.5102 7.5665
Ce -4.3477 0.0000 11.3497
Ce -2.1739 1.2551 3.7832
Ce 2.1739 1.2551 3.7832
Nd 0.0000 0.0000 11.3497
Se -2.1760 -1.2563 13.0025
Se 0.0000 0.0000 5.4737
Se 0.0000 -2.5126 9.6969
Se -2.1760 1.2563 9.6969
Se 2.1760 -1.2563 13.0024
Se 0.0000 2.5126 13.0024
Se 0.0000 0.0000 17.2257
Se 2.1760 1.2563 9.6970
```

Calculated values
As for the uncorrected formation energy: -1.886 eV per atom. Its total energy is -5.634 eV/atom. As for the crystal system: trigonal. Its spin magnetization is 3.8 μB/f.u.

Record 8
The following is a PBE calculation of NbRuF3 after structural relaxation, from the Alexandria database.

```
5
Lattice="4.2286 0.0000 0.0000 0.0000 4.2286 0.0000 0.0000 0.0000 4.2286" Properties=species:S:1:pos:R:3 pbc="T T T"
Nb 0.0000 0.0000 0.0000
Ru 2.1143 2.1143 2.1143
F 0.0000 0.0000 2.1143
F 0.0000 2.1143 0.0000
F 2.1143 0.0000 0.0000
```

Calculated values
As for the uncorrected formation energy: -0.745 eV per atom. Its total energy is -5.737 eV/atom. As for the crystal system: cubic. Its spin magnetization is 2.9 μB/f.u. The calculation puts the energy above the lowest structure with this stoichiometry at 0.000 eV per atom.

What did the fourth record say?
The following is a PBE calculation of La5Sm4In after structural relaxation, from the Alexandria database.

```
10
Lattice="-5.2693 5.2693 3.1342 5.2693 -5.2693 3.1342 5.2693 5.2693 -3.1342" Properties=species:S:1:pos:R:3 pbc="T T T"
La 0.0000 0.0000 0.0000
La 3.2752 3.2540 1.5811
La 2.0153 -1.9941 4.7153
La 3.2540 7.2634 1.5811
La 1.9941 2.0153 4.7153
Sm 3.3309 -0.0115 1.6191
Sm 7.2077 0.0115 1.6191
Sm 0.0115 3.3309 1.6191
Sm -0.0115 7.2077 1.6191
In 0.0000 0.0000 3.0485
```

Calculated values
Its energy of formation is 98.8 meV per atom. Its total energy is -4.526 eV/atom. As for the crystal system: tetragonal. Its spin magnetization is 0.0 μB/f.u. The calculation puts the energy above the lowest structure with this stoichiometry at 0.080 eV per atom.

Question: Which value of spin magnetization does entry 2 give?
Answer: 0.0 μB/f.u.

Question: Look up the spin magnetization of the eighth one.
Answer: 2.9 μB/f.u.